1.
DFT (PBE) results for an optimized crystal structure of YTh6Pb10.

**Space group**: P-31m
**E**: -5.45 eV per atom
**Fermi-level density of states**: 15.0 states/eV/cell

a = 6.4383 Å, b = 9.6855 Å, c = 9.6855 Å
α = 120.00°, β = 90.00°, γ = 90.00°
Last column: nearest neighbours and their distance in Å.
Atoms (fractional coordinates):
Y 0.5000 0.0000 0.0000  6 Pb 3.11
Th 0.7427 0.3873 0.3873  9 Pb 3.32-3.55
Th 0.7427 0.0000 0.6127  9 Pb 3.32-3.55
Th 0.7427 0.6127 0.0000  9 Pb 3.32-3.55
Th 0.2573 0.6127 0.6127  9 Pb 3.32-3.55
Th 0.2573 0.0000 0.3873  9 Pb 3.32-3.55
Th 0.2573 0.3873 0.0000  9 Pb 3.32-3.55
Pb 0.7764 0.7367 0.7367  1 Y 3.11, 4 Th 3.32-3.39
Pb 0.7764 0.0000 0.2633  1 Y 3.11, 4 Th 3.32-3.39
Pb 0.7764 0.2633 0.0000  1 Y 3.11, 4 Th 3.32-3.39
Pb 0.2236 0.2633 0.2633  1 Y 3.11, 4 Th 3.32-3.39
Pb 0.2236 0.0000 0.7367  1 Y 3.11, 4 Th 3.32-3.39
Pb 0.2236 0.7367 0.0000  1 Y 3.11, 4 Th 3.32-3.39
Pb 0.5000 0.3333 0.6667  2 Pb 3.22, 6 Th 3.38
Pb 0.5000 0.6667 0.3333  2 Pb 3.22, 6 Th 3.38
Pb 0.0000 0.6667 0.3333  2 Pb 3.22, 6 Th 3.43
Pb 0.0000 0.3333 0.6667  2 Pb 3.22, 6 Th 3.43

2.
DFT (PBE) results for an optimized crystal structure of AcSnAs2Pd4.

**Space group**: P4/mmm
**E**: -5.47 eV per atom
**Fermi-level density of states**: 6.5 states/eV/cell

a = 4.4976 Å, b = 4.4976 Å, c = 8.1329 Å
α = 90.00°, β = 90.00°, γ = 90.00°
Last column: nearest neighbours and their distance in Å.
Atoms (fractional coordinates):
Ac 0.0000 0.0000 0.5000  8 Pd 3.38, 8 As 3.44
Sn 0.0000 0.0000 0.0000  8 Pd 2.73
As 0.5000 0.5000 0.3385  4 Pd 2.55, 1 As 2.63
As 0.5000 0.5000 0.6615  4 Pd 2.55, 1 As 2.63
Pd 0.0000 0.5000 0.1900  2 As 2.55, 2 Sn 2.73
Pd 0.5000 0.0000 0.8100  2 As 2.55, 2 Sn 2.73
Pd 0.5000 0.0000 0.1900  2 As 2.55, 2 Sn 2.73
Pd 0.0000 0.5000 0.8100  2 As 2.55, 2 Sn 2.73